Crystalline Dy4Tm4Pb7 at its relaxed geometry, computed with PBE.

Structure (extended XYZ):
```
30
Lattice="-4.233 1.383 4.940 4.971 -4.396 9.967 3.222 10.727 4.234" Properties=species:S:1:pos:R:3 pbc="T T T"
Dy -2.440 0.096 6.837
Dy 3.178 -3.109 8.070
Dy 1.871 8.188 3.788
Dy -2.882 3.922 5.386
Dy 2.530 -0.904 11.375
Dy 1.429 8.618 7.766
Dy 0.185 1.608 4.185
Dy 3.775 6.106 14.956
Tm 5.203 1.957 10.626
Tm 0.873 5.065 6.046
Tm 1.407 0.446 7.797
Tm 4.668 6.577 8.874
Tm -0.709 1.137 10.267
Tm 2.552 7.268 11.344
Tm 3.086 2.649 13.095
Tm -1.243 5.757 8.515
Pb 2.151 2.379 10.131
Pb 1.809 5.335 9.010
Pb 2.882 2.682 6.195
Pb 1.078 5.032 12.946
Pb -3.158 1.032 3.685
Pb -1.075 0.351 1.255
Pb 0.149 -1.762 9.575
Pb 0.589 -1.250 5.332
Pb -0.079 4.522 3.143
Pb -0.932 7.588 6.031
Pb 3.693 6.651 5.779
Pb 4.499 -0.320 8.422
Pb 4.843 4.997 11.705
Pb -0.884 2.717 7.436
```

Fermi-level density of states	24.24	states/eV/cell
formation energy	-426	meV/atom